Entry 1:
Here is a relaxed Mo2As crystal from Alexandria via LeMat-Bulk. Energies are from PBE.

Unit cell a=4.723 b=4.723 c=4.588 alpha=90.00 beta=90.00 gamma=110.83
Sites, in units of the cell vectors:
Mo: 0.498 0.834 0.750
Mo: 0.502 0.166 0.250
Mo: 0.834 0.498 0.750
Mo: 0.166 0.502 0.250
As: 0.204 0.204 0.750
As: 0.796 0.796 0.250

Computed properties:
Polymorph energy (0 for the lowest one) in meV/atom: 0
Volume in A^3/atom: 15.94

Entry 2:
Here is a relaxed InHgF2 crystal from Alexandria via LeMat-Bulk. Energies are from PBE.

Unit cell a=8.527 b=8.527 c=8.527 alpha=21.30 beta=21.30 gamma=21.30
Sites, in units of the cell vectors:
F: 0.914 0.914 0.914
F: 0.086 0.086 0.086
Hg: 0.500 0.500 0.500
In: 0.000 0.000 0.000

Computed properties:
Polymorph energy (0 for the lowest one) in meV/atom: 452
Formation energy without anion corrections in kJ/mol of formula units: -457
Volume in A^3/atom: 17.92

Entry 3:
Here is a relaxed Nd2Dy3Y2 crystal from Alexandria via LeMat-Bulk. Energies are from PBE.

Unit cell a=3.530 b=8.771 c=8.554 alpha=115.51 beta=101.91 gamma=90.00
Sites, in units of the cell vectors:
Nd: 0.920 0.798 0.841
Nd: 0.080 0.202 0.159
Dy: 0.000 0.500 0.000
Dy: 0.221 0.647 0.442
Dy: 0.779 0.353 0.558
Y: 0.639 0.907 0.278
Y: 0.361 0.093 0.722

Computed properties:
Polymorph energy (0 for the lowest one) in meV/atom: 106
Volume in A^3/atom: 33.24

Entry 4:
Here is a relaxed Ce2Zn3GaPt4 crystal from Alexandria via LeMat-Bulk. Energies are from PBE.

Unit cell a=4.203 b=4.203 c=10.808 alpha=90.00 beta=90.00 gamma=90.00
Last column: magnetic moment on the atom in μB.
Sites, in units of the cell vectors:
Ce: 0.500 0.000 0.246  0.77
Ce: 0.000 0.500 0.754  0.77
Zn: 0.000 0.000 0.500  0.01
Zn: 0.500 0.000 0.868  0.01
Zn: 0.000 0.500 0.132  0.01
Ga: 0.500 0.500 0.500  0.01
Pt: 0.500 0.500 0.000  0.00
Pt: 0.000 0.000 0.000  0.00
Pt: 0.500 0.000 0.638  0.01
Pt: 0.000 0.500 0.362  0.01

Computed properties:
Total energy in eV/cell: -50.51
Volume in A^3/atom: 19.09

Entry 5:
Here is a relaxed PmThC crystal from Alexandria via LeMat-Bulk. Energies are from PBE.

Unit cell a=5.196 b=7.472 c=7.474 alpha=90.00 beta=90.00 gamma=90.00
Sites, in units of the cell vectors:
Pm: 0.500 0.500 0.250
Pm: 0.500 0.500 0.750
Pm: 0.500 0.000 0.750
Pm: 0.500 0.000 0.250
Th: 0.000 0.750 0.000
Th: 0.000 0.250 0.500
Th: 0.000 0.250 0.000
Th: 0.000 0.750 0.500
C: 0.000 0.500 0.250
C: 0.000 0.500 0.750
C: 0.000 0.000 0.750
C: 0.000 0.000 0.250

Computed properties:
Polymorph energy (0 for the lowest one) in meV/atom: 95
Volume in A^3/atom: 24.18

Entry 6:
Here is a relaxed VSnI3 crystal from Alexandria via LeMat-Bulk. Energies are from PBE.

Unit cell a=6.105 b=6.105 c=6.105 alpha=90.00 beta=90.00 gamma=90.00
Last column: magnetic moment on the atom in μB.
Sites, in units of the cell vectors:
I: 0.000 0.500 0.000  -0.01
I: 0.000 0.000 0.500  -0.01
I: 0.500 0.000 0.000  -0.01
Sn: 0.000 0.000 0.000  0.00
V: 0.500 0.500 0.500  3.33

Computed properties:
Polymorph energy (0 for the lowest one) in meV/atom: 444
Formation energy without anion corrections in kJ/mol of formula units: 227
Volume in A^3/atom: 45.52

Entry 7:
Here is a relaxed HoZrIrRh crystal from Alexandria via LeMat-Bulk. Energies are from PBE.

Unit cell a=3.343 b=3.343 c=6.829 alpha=90.00 beta=90.00 gamma=90.00
Sites, in units of the cell vectors:
Ho: 0.000 0.000 0.858
Zr: 0.000 0.000 0.355
Ir: 0.500 0.500 0.127
Rh: 0.500 0.500 0.587

Computed properties:
Polymorph energy (0 for the lowest one) in meV/atom: 0
Volume in A^3/atom: 19.08

Entry 8:
Here is a relaxed PaAgRh2 crystal from Alexandria via LeMat-Bulk. Energies are from PBE.

Unit cell a=4.682 b=4.682 c=4.682 alpha=60.00 beta=60.00 gamma=60.00
Sites, in units of the cell vectors:
Pa: 0.000 0.000 0.000
Rh: 0.250 0.250 0.250
Rh: 0.750 0.750 0.750
Ag: 0.500 0.500 0.500

Computed properties:
Polymorph energy (0 for the lowest one) in meV/atom: 170
Volume in A^3/atom: 18.15

Entry 9:
Here is a relaxed Ac4ErPu3Se8 crystal from Alexandria via LeMat-Bulk. Energies are from PBE.

Unit cell a=8.539 b=8.666 c=8.540 alpha=119.52 beta=120.00 gamma=90.00
Last column: magnetic moment on the atom in μB.
Sites, in units of the cell vectors:
Ac: 0.500 0.000 0.000  0.03
Ac: 0.500 0.000 0.500  0.01
Ac: 0.000 0.000 0.000  0.01
Ac: 0.000 0.000 0.500  0.01
Er: 0.000 0.500 0.000  0.06
Pu: 0.500 0.500 0.000  5.43
Pu: 0.500 0.500 0.500  5.43
Pu: 0.000 0.500 0.500  5.43
Se: 0.239 0.725 0.986  -0.03
Se: 0.239 0.725 0.479  -0.03
Se: 0.257 0.272 0.514  -0.05
Se: 0.747 0.725 0.986  -0.03
Se: 0.253 0.275 0.014  -0.03
Se: 0.743 0.728 0.486  -0.05
Se: 0.761 0.275 0.521  -0.03
Se: 0.761 0.275 0.014  -0.03

Computed properties:
Formation energy without anion corrections in kJ/mol of formula units: -2691
Volume in A^3/atom: 28.13

Entry 10:
Here is a relaxed ErGe2Bi crystal from Alexandria via LeMat-Bulk. Energies are from PBE.

Unit cell a=3.973 b=4.858 c=4.858 alpha=90.00 beta=90.00 gamma=90.00
Sites, in units of the cell vectors:
Ge: 0.000 0.000 0.500
Ge: 0.000 0.500 0.000
Bi: 0.500 0.500 0.500
Er: 0.500 0.000 0.000

Computed properties:
Total energy in eV/cell: -18.78
Volume in A^3/atom: 23.44

Entry 11:
Here is a relaxed AcMgGa2Ir2 crystal from Alexandria via LeMat-Bulk. Energies are from PBE.

Unit cell a=4.404 b=4.404 c=7.221 alpha=90.00 beta=90.00 gamma=120.00
Sites, in units of the cell vectors:
Ac: 0.000 0.000 0.000
Mg: 0.000 0.000 0.500
Ga: 0.667 0.333 0.678
Ga: 0.333 0.667 0.322
Ir: 0.667 0.333 0.303
Ir: 0.333 0.667 0.697

Computed properties:
Total energy in eV/cell: -33.29
Volume in A^3/atom: 20.21

Entry 12:
Here is a relaxed Y3Ho5Th3 crystal from Alexandria via LeMat-Bulk. Energies are from PBE.

Unit cell a=5.514 b=9.598 c=9.598 alpha=120.00 beta=90.00 gamma=90.00
Last column: magnetic moment on the atom in μB.
Sites, in units of the cell vectors:
Y: 0.000 0.570 0.570  0.12
Y: 0.000 0.430 0.000  0.12
Y: 0.000 0.000 0.430  0.12
Ho: 0.500 0.333 0.667  0.01
Ho: 0.500 0.667 0.333  0.01
Ho: 0.500 0.370 0.370  0.00
Ho: 0.500 0.000 0.630  0.00
Ho: 0.500 0.630 0.000  0.00
Th: 0.500 0.739 0.739  0.13
Th: 0.500 0.000 0.261  0.13
Th: 0.500 0.261 0.000  0.13

Computed properties:
Total energy in eV/cell: -54.72
Volume in A^3/atom: 39.99